Record 1
# Tb6Pm2Sm3Th, relaxed, DFT PBE
data_Tb6Pm2Sm3Th
_chemical_formula_sum 'Tb12 Pm4 Sm6 Th2'
_symmetry_space_group_name_H-M 'C 1 2/m 1'
_symmetry_Int_Tables_number 12
_cell_length_a 6.241
_cell_length_b 10.798
_cell_length_c 11.868
_cell_angle_alpha 90.00
_cell_angle_beta 100.07
_cell_angle_gamma 90.00
loop_
_symmetry_equiv_pos_as_xyz
'x,y,z'
'-x,-y,-z'
'-x,y,-z'
'x,-y,z'
'x+1/2,y+1/2,z'
'-x+1/2,-y+1/2,-z'
'-x+1/2,y+1/2,-z'
'x+1/2,-y+1/2,z'
loop_
_atom_site_label
_atom_site_fract_x
_atom_site_fract_y
_atom_site_fract_z
Tb1 0.246 0.000 0.251
Tb2 0.248 0.165 0.749
Pm1 0.000 0.333 0.500
Sm1 0.000 0.167 0.000
Sm2 0.000 0.500 0.000
Th1 0.000 0.000 0.500
# energy of formation: 0.02 eV/atom

---

Record 2
# CaLa2Pm, relaxed, DFT PBE
data_CaLa2Pm
_chemical_formula_sum 'Ca4 La8 Pm4'
_symmetry_space_group_name_H-M 'F m -3 m'
_symmetry_Int_Tables_number 225
_symmetry_space_group_name_Hall '-F 4 2 3'
_cell_length_a 8.438
_cell_length_b 8.438
_cell_length_c 8.438
_cell_angle_alpha 90.00
_cell_angle_beta 90.00
_cell_angle_gamma 90.00
loop_
_atom_site_label
_atom_site_fract_x
_atom_site_fract_y
_atom_site_fract_z
Ca1 0.000 0.000 0.000
La1 0.250 0.250 0.250
Pm1 0.000 0.000 0.500
# energy relative to the lowest polymorph listed for this composition: 7.5 kJ per mole of atoms
# energy of formation: 0.11 eV/atom

---

Record 3
# NaNbBi2O6, relaxed, DFT PBE
data_NaNbBi2O6
_chemical_formula_sum 'Na2 Nb2 Bi4 O12'
_symmetry_space_group_name_H-M 'P 1 21/c 1'
_symmetry_Int_Tables_number 14
_cell_length_a 5.664
_cell_length_b 6.104
_cell_length_c 9.855
_cell_angle_alpha 90.00
_cell_angle_beta 123.14
_cell_angle_gamma 90.00
loop_
_symmetry_equiv_pos_as_xyz
'x,y,z'
'-x,-y,-z'
'-x,y+1/2,-z+1/2'
'x,-y+1/2,z+1/2'
loop_
_atom_site_label
_atom_site_fract_x
_atom_site_fract_y
_atom_site_fract_z
Na1 0.000 0.000 0.000
Nb1 0.500 0.000 0.500
Bi1 0.229 0.042 0.742
O1 0.144 0.158 0.447
O2 0.279 0.717 0.420
O3 0.416 0.067 0.275
# raw formation energy: -1.7928 eV/atom

---

Please write out number 1 again, unchanged.
# Tb6Pm2Sm3Th, relaxed, DFT PBE
data_Tb6Pm2Sm3Th
_chemical_formula_sum 'Tb12 Pm4 Sm6 Th2'
_symmetry_space_group_name_H-M 'C 1 2/m 1'
_symmetry_Int_Tables_number 12
_cell_length_a 6.241
_cell_length_b 10.798
_cell_length_c 11.868
_cell_angle_alpha 90.00
_cell_angle_beta 100.07
_cell_angle_gamma 90.00
loop_
_symmetry_equiv_pos_as_xyz
'x,y,z'
'-x,-y,-z'
'-x,y,-z'
'x,-y,z'
'x+1/2,y+1/2,z'
'-x+1/2,-y+1/2,-z'
'-x+1/2,y+1/2,-z'
'x+1/2,-y+1/2,z'
loop_
_atom_site_label
_atom_site_fract_x
_atom_site_fract_y
_atom_site_fract_z
Tb1 0.246 0.000 0.251
Tb2 0.248 0.165 0.749
Pm1 0.000 0.333 0.500
Sm1 0.000 0.167 0.000
Sm2 0.000 0.500 0.000
Th1 0.000 0.000 0.500
# energy of formation: 0.02 eV/atom

---

What is the formula in the first record? Tb6Pm2Sm3Th